Density functional theory data (PBE-GGA) for a geometry-optimized Cr2CdCu structure.

Properties
**Symmetry**: No. 71
**Size of the total moment**: 0.00 μB per atom
**DFT formation energy**: 2.1 eV per formula unit
**Crystal system**: orthorhombic

The structure in POSCAR format:
```
Cr2CdCu
1.0
-1.6958 1.8711 4.3352
1.6958 -1.8711 4.3352
1.6958 1.8711 -4.3352
Cr Cd Cu
2 1 1
direct
0.2468 0.2468 0.0000 Cr
0.7532 0.7532 0.0000 Cr
0.5000 0.0000 0.5000 Cd
0.0000 0.5000 0.5000 Cu
```

Density functional theory data (PBE-GGA) for a geometry-optimized Ac3RuRh structure.

Properties
**Symmetry**: No. 11
**Size of the total moment**: 0.00 μB per atom
**DFT formation energy**: -1.6 eV per formula unit
**Crystal system**: monoclinic
**Energy above the lowest structure with this stoichiometry**: 0.065 eV/atom

The structure in POSCAR format:
```
Ac3RuRh
1.0
8.1805 0.0000 0.0000
0.0000 4.2539 0.0000
-1.1689 0.0000 9.0835
Ac Ru Rh
6 2 2
direct
0.0932 0.2500 0.3580 Ac
0.2075 0.7500 0.0198 Ac
0.4019 0.7500 0.6697 Ac
0.5981 0.2500 0.3303 Ac
0.7925 0.2500 0.9802 Ac
0.9068 0.7500 0.6420 Ac
0.1280 0.2500 0.7871 Ru
0.8720 0.7500 0.2129 Ru
0.3370 0.7500 0.3382 Rh
0.6630 0.2500 0.6618 Rh
```

Density functional theory data (PBE-GGA) for a geometry-optimized K2TlSeBr structure.

Properties
**Symmetry**: No. 123
**Size of the total moment**: 0.00 μB per atom
**Uncorrected formation energy**: -0.5734 eV per atom
**Crystal system**: tetragonal

The structure in POSCAR format:
```
K2TlSeBr
1.0
6.7981 0.0000 0.0000
0.0000 6.7981 0.0000
0.0000 0.0000 5.2663
K Tl Se Br
2 1 1 1
direct
0.0000 0.5000 0.0000 K
0.5000 0.0000 0.0000 K
0.0000 0.0000 0.0000 Tl
0.0000 0.0000 0.5000 Se
0.5000 0.5000 0.5000 Br
```

Density functional theory data (PBE-GGA) for a geometry-optimized BaTiTe2N structure.

Properties
**Symmetry**: No. 123
**Size of the total moment**: 0.00 μB per atom
**Uncorrected formation energy**: -0.7569 eV per atom
**Crystal system**: tetragonal
**Energy above the lowest structure with this stoichiometry**: 0.000 eV/atom

The structure in POSCAR format:
```
BaTiTe2N
1.0
5.8468 0.0000 0.0000
0.0000 5.8468 0.0000
0.0000 0.0000 3.8722
Ba Ti Te N
1 1 2 1
direct
0.0000 0.0000 0.0000 Ba
0.5000 0.5000 0.5000 Ti
0.0000 0.5000 0.5000 Te
0.5000 0.0000 0.5000 Te
0.5000 0.5000 0.0000 N
```

Density functional theory data (PBE-GGA) for a geometry-optimized TlNi4Os structure.

Properties
**Symmetry**: No. 216
**Size of the total moment**: 0.56 μB per atom
**DFT formation energy**: 2.4 eV per formula unit
**Crystal system**: cubic

The structure in POSCAR format:
```
TlNi4Os
1.0
0.0000 3.4074 3.4074
3.4074 0.0000 3.4074
3.4074 3.4074 0.0000
Tl Ni Os
1 4 1
direct
0.0000 0.0000 0.0000 Tl
0.1276 0.6241 0.6241 Ni
0.6241 0.1276 0.6241 Ni
0.6241 0.6241 0.1276 Ni
0.6241 0.6241 0.6241 Ni
0.2500 0.2500 0.2500 Os
```

Density functional theory data (PBE-GGA) for a geometry-optimized FeBi structure.

Properties
**Symmetry**: No. 223
**Size of the total moment**: 1.43 μB per atom
**DFT formation energy**: 2.0 eV per formula unit
**Crystal system**: cubic

The structure in POSCAR format:
```
FeBi
1.0
7.5271 0.0000 0.0000
0.0000 7.5271 0.0000
0.0000 0.0000 7.5271
Fe Bi
6 6
direct
0.0000 0.2500 0.5000 Fe
0.0000 0.7500 0.5000 Fe
0.2500 0.5000 0.0000 Fe
0.5000 0.0000 0.2500 Fe
0.5000 0.0000 0.7500 Fe
0.7500 0.5000 0.0000 Fe
0.0000 0.5000 0.2500 Bi
0.0000 0.5000 0.7500 Bi
0.2500 0.0000 0.5000 Bi
0.5000 0.2500 0.0000 Bi
0.5000 0.7500 0.0000 Bi
0.7500 0.0000 0.5000 Bi
```

Density functional theory data (PBE-GGA) for a geometry-optimized LaYZr2As structure.

Properties
**Symmetry**: No. 123
**Size of the total moment**: 0.02 μB per atom
**DFT formation energy**: 5.6 eV per formula unit
**Crystal system**: tetragonal

The structure in POSCAR format:
```
LaYZr2As
1.0
5.1190 0.0000 0.0000
0.0000 5.1190 0.0000
0.0000 0.0000 5.8710
La Y Zr As
1 1 2 1
direct
0.0000 0.0000 0.0000 La
0.0000 0.0000 0.5000 Y
0.0000 0.5000 0.5000 Zr
0.5000 0.0000 0.5000 Zr
0.5000 0.5000 0.0000 As
```

Density functional theory data (PBE-GGA) for a geometry-optimized PuAl2Cd structure.

Properties
**Symmetry**: No. 123
**Size of the total moment**: 1.42 μB per atom
**DFT formation energy**: -0.1 eV per formula unit
**Crystal system**: tetragonal
**Energy above the lowest structure with this stoichiometry**: 0.071 eV/atom

The structure in POSCAR format:
```
PuAl2Cd
1.0
3.0469 0.0000 0.0000
0.0000 3.0469 0.0000
0.0000 0.0000 8.9453
Pu Al Cd
1 2 1
direct
0.0000 0.0000 0.0000 Pu
0.5000 0.5000 0.2575 Al
0.5000 0.5000 0.7425 Al
0.0000 0.0000 0.5000 Cd
```

Density functional theory data (PBE-GGA) for a geometry-optimized Ti5Ga4Rh structure.

Properties
**Symmetry**: No. 123
**Size of the total moment**: 0.00 μB per atom
**DFT formation energy**: -4.4 eV per formula unit
**Crystal system**: tetragonal
**Energy above the lowest structure with this stoichiometry**: 0.000 eV/atom

The structure in POSCAR format:
```
Ti5Ga4Rh
1.0
3.3617 0.0000 0.0000
0.0000 3.3617 0.0000
0.0000 0.0000 13.9140
Ti Ga Rh
5 4 1
direct
0.0000 0.0000 0.0000 Ti
0.0000 0.0000 0.1992 Ti
0.0000 0.0000 0.4012 Ti
0.0000 0.0000 0.5988 Ti
0.0000 0.0000 0.8008 Ti
0.5000 0.5000 0.0987 Ga
0.5000 0.5000 0.3033 Ga
0.5000 0.5000 0.6967 Ga
0.5000 0.5000 0.9013 Ga
0.5000 0.5000 0.5000 Rh
```

Density functional theory data (PBE-GGA) for a geometry-optimized Tb2DyTh3P6 structure.

Properties
**Symmetry**: No. 12
**Size of the total moment**: 0.00 μB per atom
**DFT formation energy**: -19.1 eV per formula unit
**Crystal system**: monoclinic

The structure in POSCAR format:
```
Tb2DyTh3P6
1.0
3.5492 -6.1374 0.0000
3.5492 6.1374 0.0000
-2.3642 0.0000 6.6290
Tb Dy Th P
2 1 3 6
direct
0.1665 0.8335 0.0000 Tb
0.8335 0.1665 0.0000 Tb
0.5000 0.5000 0.0000 Dy
0.0000 0.0000 0.5000 Th
0.3332 0.6668 0.5000 Th
0.6668 0.3332 0.5000 Th
0.0862 0.4188 0.7562 P
0.2488 0.2488 0.2441 P
0.4188 0.0862 0.7562 P
0.5812 0.9138 0.2438 P
0.7512 0.7512 0.7559 P
0.9138 0.5812 0.2438 P
```

Density functional theory data (PBE-GGA) for a geometry-optimized Ta3CuS structure.

Properties
**Symmetry**: No. 221
**Size of the total moment**: 0.00 μB per atom
**Uncorrected formation energy**: 0.5511 eV per atom
**Crystal system**: cubic
**Energy above the lowest structure with this stoichiometry**: 0.000 eV/atom

The structure in POSCAR format:
```
Ta3CuS
1.0
4.5260 0.0000 0.0000
0.0000 4.5260 0.0000
0.0000 0.0000 4.5260
Ta Cu S
3 1 1
direct
0.0000 0.0000 0.5000 Ta
0.0000 0.5000 0.0000 Ta
0.5000 0.0000 0.0000 Ta
0.5000 0.5000 0.5000 Cu
0.0000 0.0000 0.0000 S
```

Density functional theory data (PBE-GGA) for a geometry-optimized Ba2SrLa structure.

Properties
**Symmetry**: No. 8
**Size of the total moment**: 0.04 μB per atom
**DFT formation energy**: 0.6 eV per formula unit
**Crystal system**: monoclinic
**Energy above the lowest structure with this stoichiometry**: 0.038 eV/atom

The structure in POSCAR format:
```
Ba2SrLa
1.0
7.0036 -2.0654 0.0000
7.0036 2.0654 0.0000
-1.3338 0.0000 7.1868
Ba Sr La
2 1 1
direct
0.0000 0.0000 0.0000 Ba
0.2425 0.2425 0.7344 Ba
0.4850 0.4850 0.4762 Sr
0.7409 0.7409 0.2352 La
```

Density functional theory data (PBE-GGA) for a geometry-optimized La8TcIr3I3 structure.

Properties
**Symmetry**: No. 12
**Size of the total moment**: 0.00 μB per atom
**Uncorrected formation energy**: -0.8366 eV per atom
**Crystal system**: monoclinic

The structure in POSCAR format:
```
La8TcIr3I3
1.0
7.3289 -4.2264 0.0000
7.3289 4.2264 0.0000
-4.9020 0.0000 8.3251
La Tc Ir I
8 1 3 3
direct
0.2238 0.2238 0.6827 La
0.2237 0.7358 0.6830 La
0.2642 0.7763 0.3170 La
0.2732 0.2732 0.3196 La
0.7268 0.7268 0.6804 La
0.7358 0.2237 0.6830 La
0.7763 0.2642 0.3170 La
0.7762 0.7762 0.3173 La
0.0000 0.0000 0.5000 Tc
0.0000 0.5000 0.5000 Ir
0.5000 0.0000 0.5000 Ir
0.5000 0.5000 0.5000 Ir
0.0000 0.0000 0.0000 I
0.0000 0.5000 0.0000 I
0.5000 0.0000 0.0000 I
```

Density functional theory data (PBE-GGA) for a geometry-optimized Ce2AlPd4 structure.

Properties
**Symmetry**: No. 69
**Size of the total moment**: 0.21 μB per atom
**DFT formation energy**: -3.2 eV per formula unit
**Crystal system**: orthorhombic

The structure in POSCAR format:
```
Ce2AlPd4
1.0
0.0000 3.2974 7.2676
3.2926 0.0000 7.2676
3.2926 3.2974 0.0000
Ce Al Pd
2 1 4
direct
0.1434 0.1434 0.8566 Ce
0.8566 0.8566 0.1434 Ce
0.5000 0.5000 0.5000 Al
0.0000 0.0000 0.5000 Pd
0.3317 0.3317 0.6683 Pd
0.5000 0.5000 0.0000 Pd
0.6683 0.6683 0.3317 Pd
```

Density functional theory data (PBE-GGA) for a geometry-optimized Hg2PbCl structure.

Properties
**Symmetry**: No. 25
**Size of the total moment**: 0.00 μB per atom
**Uncorrected formation energy**: -0.2781 eV per atom
**Crystal system**: orthorhombic
**Energy above the lowest structure with this stoichiometry**: 0.018 eV/atom

The structure in POSCAR format:
```
Hg2PbCl
1.0
3.5891 0.0000 0.0000
0.0000 4.9699 0.0000
0.0000 0.0000 6.5057
Hg Pb Cl
2 1 1
direct
0.0000 0.0000 0.0000 Hg
0.5000 0.5000 0.0541 Hg
0.0000 0.0000 0.5189 Pb
0.5000 0.5000 0.5468 Cl
```

Density functional theory data (PBE-GGA) for a geometry-optimized GaSb2Au2 structure.

Properties
**Symmetry**: No. 59
**Size of the total moment**: 0.00 μB per atom
**Uncorrected formation energy**: -0.0260 eV per atom
**Crystal system**: orthorhombic
**Energy above the lowest structure with this stoichiometry**: 0.000 eV/atom

The structure in POSCAR format:
```
GaSb2Au2
1.0
4.4384 0.0000 0.0000
0.0000 4.7610 0.0000
0.0000 0.0000 12.5584
Ga Sb Au
2 4 4
direct
0.2500 0.2500 0.0024 Ga
0.7500 0.7500 0.9976 Ga
0.2500 0.2500 0.4900 Sb
0.2500 0.2500 0.7665 Sb
0.7500 0.7500 0.2335 Sb
0.7500 0.7500 0.5100 Sb
0.2500 0.7500 0.3600 Au
0.2500 0.7500 0.8856 Au
0.7500 0.2500 0.1144 Au
0.7500 0.2500 0.6400 Au
```

Density functional theory data (PBE-GGA) for a geometry-optimized KGaGe structure.

Properties
**Symmetry**: No. 166
**Size of the total moment**: 0.00 μB per atom
**DFT formation energy**: 0.6 eV per formula unit
**Crystal system**: trigonal

The structure in POSCAR format:
```
KGaGe
1.0
2.7888 1.6101 6.0403
-2.7888 1.6101 6.0403
0.0000 -3.2203 6.0403
K Ga Ge
2 2 2
direct
0.1065 0.1065 0.1065 K
0.8935 0.8935 0.8935 K
0.4297 0.4297 0.4297 Ga
0.5703 0.5703 0.5703 Ga
0.2908 0.2908 0.2908 Ge
0.7092 0.7092 0.7092 Ge
```

Density functional theory data (PBE-GGA) for a geometry-optimized Ge2PdCl structure.

Properties
**Symmetry**: No. 225
**Size of the total moment**: 0.00 μB per atom
**Uncorrected formation energy**: 0.1282 eV per atom
**Crystal system**: cubic
**Energy above the lowest structure with this stoichiometry**: 0.149 eV/atom

The structure in POSCAR format:
```
Ge2PdCl
1.0
0.0000 3.3163 3.3163
3.3163 0.0000 3.3163
3.3163 3.3163 0.0000
Ge Pd Cl
2 1 1
direct
0.2500 0.2500 0.2500 Ge
0.7500 0.7500 0.7500 Ge
0.0000 0.0000 0.0000 Pd
0.5000 0.5000 0.5000 Cl
```

Density functional theory data (PBE-GGA) for a geometry-optimized GeAuI2N structure.

Properties
**Symmetry**: No. 123
**Size of the total moment**: 0.00 μB per atom
**Uncorrected formation energy**: 0.7237 eV per atom
**Crystal system**: tetragonal
**Energy above the lowest structure with this stoichiometry**: 0.000 eV/atom

The structure in POSCAR format:
```
GeAuI2N
1.0
6.0342 0.0000 0.0000
0.0000 6.0342 0.0000
0.0000 0.0000 3.4540
Ge Au I N
1 1 2 1
direct
0.0000 0.0000 0.0000 Ge
0.5000 0.5000 0.5000 Au
0.0000 0.5000 0.0000 I
0.5000 0.0000 0.0000 I
0.0000 0.0000 0.5000 N
```

Density functional theory data (PBE-GGA) for a geometry-optimized Sm2Er6Tm3In structure.

Properties
**Symmetry**: No. 12
**Size of the total moment**: 0.00 μB per atom
**DFT formation energy**: -0.6 eV per formula unit
**Crystal system**: monoclinic

The structure in POSCAR format:
```
Sm2Er6Tm3In
1.0
3.0146 -5.2244 0.0000
3.0146 5.2244 0.0000
-2.0129 0.0000 11.4259
Sm Er Tm In
2 6 3 1
direct
0.1661 0.8339 0.0000 Sm
0.8339 0.1661 0.0000 Sm
0.0884 0.4168 0.7495 Er
0.2551 0.2551 0.2514 Er
0.4168 0.0884 0.7495 Er
0.5832 0.9116 0.2505 Er
0.7449 0.7449 0.7486 Er
0.9116 0.5832 0.2505 Er
0.0000 0.0000 0.5000 Tm
0.3335 0.6665 0.5000 Tm
0.6665 0.3335 0.5000 Tm
0.5000 0.5000 0.0000 In
```